(1)
Entry from Alexandria via LeMat-Bulk: an optimized crystal structure of Pm5Cd (PBE).

Calculated values
**SG**: P4/mmm, No. 123
**Energy above the lowest structure with this stoichiometry**: 0.000 eV/atom
**Energy relative to the elements**: -0.10 eV/atom
**Magnetization**: 0.00 μB per cell

The structure in POSCAR format:
```
Pm5Cd
1.0
3.671 0.000 0.000
0.000 3.671 0.000
0.000 0.000 14.391
Pm Cd
5 1
Direct
0.000 0.000 0.000
0.000 0.000 0.355
0.000 0.000 0.645
0.500 0.500 0.178
0.500 0.500 0.822
0.500 0.500 0.500
```


(2)
Entry from Alexandria via LeMat-Bulk: an optimized crystal structure of PmCd4 (PBE).

Calculated values
**SG**: Imma, No. 74
**Energy above the lowest structure with this stoichiometry**: 0.000 eV/atom
**Energy relative to the elements**: -0.24 eV/atom
**Magnetization**: 0.00 μB per cell

The structure in POSCAR format:
```
PmCd4
1.0
-2.447 3.373 7.468
2.447 -3.373 7.468
2.447 3.373 -7.468
Pm Cd
2 8
Direct
0.357 0.107 0.250
0.643 0.893 0.750
0.000 0.500 0.500
0.136 0.886 0.250
0.196 0.697 0.499
0.301 0.303 0.999
0.500 0.500 0.000
0.699 0.697 0.001
0.804 0.303 0.501
0.864 0.114 0.750
```


(3)
Entry from Alexandria via LeMat-Bulk: an optimized crystal structure of Pm2Cd5 (PBE).

Calculated values
**SG**: Ibam, No. 72
**Energy relative to the elements**: -0.28 eV/atom
**Magnetization**: 0.00 μB per cell

The structure in POSCAR format:
```
Pm2Cd5
1.0
-3.687 7.075 3.430
3.687 -7.075 3.430
3.687 7.075 -3.430
Pm Cd
4 10
Direct
0.105 0.194 0.299
0.395 0.694 0.089
0.605 0.306 0.911
0.895 0.806 0.701
0.018 0.750 0.268
0.124 0.759 0.884
0.250 0.750 0.500
0.376 0.259 0.635
0.482 0.750 0.732
0.518 0.250 0.268
0.624 0.741 0.365
0.750 0.250 0.500
0.876 0.241 0.116
0.982 0.250 0.732
```


(4)
Entry from Alexandria via LeMat-Bulk: an optimized crystal structure of Pm3Cd5 (PBE).

Calculated values
**SG**: P-62m, No. 189
**Energy above the lowest structure with this stoichiometry**: 0.045 eV/atom
**Energy relative to the elements**: -0.25 eV/atom
**Magnetization**: 0.00 μB per cell

The structure in POSCAR format:
```
Pm3Cd5
1.0
7.911 0.000 0.000
-3.956 6.851 0.000
0.000 0.000 4.063
Pm Cd
3 5
Direct
0.000 0.610 0.000
0.390 0.390 0.000
0.610 0.000 0.000
0.000 0.231 0.500
0.231 0.000 0.500
0.333 0.667 0.500
0.667 0.333 0.500
0.769 0.769 0.500
```


Short version: E = -4.21; -1.92; -2.29; -2.60 eV/atom, in the order given.